VASP calculation (GGA+U) on a relaxed Sr2NpCoO8 crystal.

## Properties
E (eV per atom): -7.102

```
12
Lattice="4.4437 -0.2803 -0.0030 -0.2530 5.4170 -0.0065 0.0026 0.0073 6.5722" Properties=species:S:1:pos:R:3 pbc="T T T"
Sr 2.0992 2.5704 1.7428
Sr 2.0940 2.5736 4.8198
O 1.8136 0.4455 3.2840
O 0.0386 4.1946 4.8327
O 4.1547 0.9494 1.7300
O 1.6826 1.0211 -0.0022
O 2.3796 4.6985 3.2786
O 2.5107 4.1230 6.5649
O 0.0381 4.1907 1.7289
O 4.1551 0.9533 4.8338
Np 0.0000 0.0000 0.0000
Co 0.0013 0.0036 3.2861
```